Record 1
First-principles (PBE-GGA) data for crystalline LaTaS2 at its relaxed geometry, as listed in Alexandria via LeMat-Bulk.

The structure in POSCAR format:
```
LaTaS2
1.0
5.7355 0.0000 0.0000
0.0000 5.7355 0.0000
2.8677 2.8677 6.3679
S La Ta
4 2 2
Direct
0.6984 0.1250 0.2500 S
0.0516 0.6250 0.2500 S
0.3750 0.3016 0.7500 S
0.8750 0.9484 0.7500 S
0.5000 0.5000 0.0000 La
0.2500 0.7500 0.5000 La
0.0000 0.0000 0.0000 Ta
0.7500 0.2500 0.5000 Ta
```

Properties
Electronic total energy ... -7.10 eV/atom
E_form (uncorrected) ... -0.838 eV per atom
Total magnetization ... 0.0709 μB per atom
E above lowest polymorph ... 0.192 eV/f.u.

=====

Record 2
First-principles (PBE-GGA) data for crystalline LaTaS2 at its relaxed geometry, as listed in Alexandria via LeMat-Bulk.

The structure in POSCAR format:
```
LaTaS2
1.0
-9.0505 -1.0823 -0.9854
-8.0030 -4.3511 -1.0360
-8.5196 -2.7605 1.9619
S La Ta
2 1 1
Direct
0.8908 0.8908 0.8908 S
0.1092 0.1092 0.1092 S
0.0000 0.0000 0.0000 La
0.5000 0.5000 0.5000 Ta
```

Properties
Electronic total energy ... -7.08 eV/atom
E_form (uncorrected) ... -0.817 eV per atom
Total magnetization ... 0.0710 μB per atom
E above lowest polymorph ... 0.277 eV/f.u.

=====

Record 3
First-principles (PBE-GGA) data for crystalline LaTaS3 at its relaxed geometry, as listed in Alexandria via LeMat-Bulk.

The structure in POSCAR format:
```
LaTaS3
1.0
4.9791 0.0000 0.0000
0.0000 5.2322 0.0000
0.0000 0.0000 16.0673
La Ta S
4 4 12
Direct
0.0000 0.5000 0.0000 La
0.5000 0.0000 0.5000 La
0.5000 0.0000 0.0000 La
0.0000 0.5000 0.5000 La
0.4998 0.4313 0.7500 Ta
0.0002 0.9313 0.2500 Ta
0.5002 0.5687 0.2500 Ta
0.9998 0.0687 0.7500 Ta
0.0001 0.9990 0.0968 S
0.4999 0.4990 0.5968 S
0.4999 0.4990 0.9032 S
0.9999 0.0010 0.5968 S
0.9999 0.0010 0.9032 S
0.5001 0.5010 0.4032 S
0.5001 0.5010 0.0968 S
0.0001 0.9990 0.4032 S
0.4998 0.9683 0.7500 S
0.0002 0.4683 0.2500 S
0.5002 0.0317 0.2500 S
0.9998 0.5317 0.7500 S
```

Properties
Electronic total energy ... -7.17 eV/atom
E_form (uncorrected) ... -1.337 eV per atom
Total magnetization ... 0.0000 μB per atom
E above lowest polymorph ... 0.431 eV/f.u.

=====

Record 4
First-principles (PBE-GGA) data for crystalline La3TaS at its relaxed geometry, as listed in Alexandria via LeMat-Bulk.

The structure in POSCAR format:
```
La3TaS
1.0
5.4482 0.0000 0.0000
0.0000 5.4482 0.0000
0.0000 0.0000 5.4482
S La Ta
1 3 1
Direct
0.0000 0.0000 0.0000 S
0.0000 0.5000 0.0000 La
0.0000 0.0000 0.5000 La
0.5000 0.0000 0.0000 La
0.5000 0.5000 0.5000 Ta
```

Properties
Electronic total energy ... -6.27 eV/atom
E_form (uncorrected) ... -0.116 eV per atom
Total magnetization ... 0.3010 μB per atom
E above lowest polymorph ... 0.000 eV/f.u.

=====

Record 5
First-principles (PBE-GGA) data for crystalline La2TaS at its relaxed geometry, as listed in Alexandria via LeMat-Bulk.

The structure in POSCAR format:
```
La2TaS
1.0
-5.9199 -5.4090 0.2614
2.1317 -1.9715 7.4793
-3.9318 -1.4029 5.0541
S La Ta
2 4 2
Direct
0.5000 0.5000 0.0000 S
0.2500 0.7500 0.5000 S
0.6026 0.1250 0.2500 La
0.1474 0.6250 0.2500 La
0.3750 0.3974 0.7500 La
0.8750 0.8526 0.7500 La
0.0000 0.0000 0.0000 Ta
0.7500 0.2500 0.5000 Ta
```

Properties
Electronic total energy ... -6.40 eV/atom
E_form (uncorrected) ... 0.055 eV per atom
Total magnetization ... 0.0410 μB per atom

=====

Record 6
First-principles (PBE-GGA) data for crystalline LaTaS2 at its relaxed geometry, as listed in Alexandria via LeMat-Bulk.

The structure in POSCAR format:
```
LaTaS2
1.0
7.9567 -0.1208 3.6674
8.2435 -2.7612 1.0924
8.7250 0.7873 0.1645
S La Ta
2 1 1
Direct
0.9080 0.9080 0.9080 S
0.0920 0.0920 0.0920 S
0.5000 0.5000 0.5000 La
0.0000 0.0000 0.0000 Ta
```

Properties
Electronic total energy ... -6.85 eV/atom
E_form (uncorrected) ... -0.586 eV per atom
Total magnetization ... 0.0000 μB per atom
E above lowest polymorph ... 1.198 eV/f.u.